(1)
Entry from the Alexandria database: an optimized crystal structure of CrRh2W (GGA-PBE).

a b c (Å): 3.143 3.143 5.795
angles (deg): 90.00 90.00 90.00
Sites, in units of the cell vectors:
Rh (0.000, 0.000, 0.962)
Rh (0.500, 0.500, 0.259)
Cr (0.500, 0.500, 0.769)
W (0.000, 0.000, 0.509)

Values from the calculation:
Its space group is No. 99. As for the formation energy: 0.0656 eV per atom. For the density of states at the Fermi level, the calculation gives 4.17 states/eV/cell. For the calculated volume, the calculation gives 57.2 Å³/cell.

(2)
Entry from the Alexandria database: an optimized crystal structure of CrRh2W (GGA-PBE).

a b c (Å): 8.880 8.880 8.880
angles (deg): 17.71 17.71 17.71
Sites, in units of the cell vectors:
Rh (0.004, 0.004, 0.004)
Cr (0.750, 0.750, 0.750)
Rh (0.496, 0.496, 0.496)
W (0.250, 0.250, 0.250)

Values from the calculation:
Its space group is No. 166. As for the formation energy: 0.0361 eV per atom. For the density of states at the Fermi level, the calculation gives 4.25 states/eV/cell. For the calculated volume, the calculation gives 56.6 Å³/cell.

(3)
Entry from the Alexandria database: an optimized crystal structure of CrRh2W (GGA-PBE).

a b c (Å): 8.985 8.985 8.985
angles (deg): 17.52 17.52 17.52
Sites, in units of the cell vectors:
Rh (0.249, 0.249, 0.249)
W (0.501, 0.501, 0.501)
Cr (0.745, 0.745, 0.745)
Rh (0.005, 0.005, 0.005)

Values from the calculation:
Its space group is No. 160. As for the formation energy: 0.0657 eV per atom. For the density of states at the Fermi level, the calculation gives 4.77 states/eV/cell. For the calculated volume, the calculation gives 57.4 Å³/cell.

(4)
Entry from the Alexandria database: an optimized crystal structure of CrRh2W (GGA-PBE).

a b c (Å): 3.819 2.714 6.059
angles (deg): 63.35 90.00 90.00
Sites, in units of the cell vectors:
Rh (0.000, 0.008, 0.992)
Rh (0.000, 0.492, 0.508)
W (0.500, 0.250, 0.250)
Cr (0.500, 0.750, 0.750)

Values from the calculation:
Its space group is No. 47. As for the formation energy: -0.0973 eV per atom. For the density of states at the Fermi level, the calculation gives 3.15 states/eV/cell. For the calculated volume, the calculation gives 56.1 Å³/cell.

(5)
Entry from the Alexandria database: an optimized crystal structure of YCr4Rh (GGA-PBE).

a b c (Å): 4.977 4.977 4.977
angles (deg): 60.00 60.00 60.00
Sites, in units of the cell vectors:
Cr (0.374, 0.374, 0.879)
Rh (0.750, 0.750, 0.750)
Cr (0.374, 0.374, 0.374)
Y (0.000, 0.000, 0.000)
Cr (0.879, 0.374, 0.374)
Cr (0.374, 0.879, 0.374)

Values from the calculation:
Its space group is No. 216. As for the formation energy: 0.2324 eV per atom. For the density of states at the Fermi level, the calculation gives 8.75 states/eV/cell. For the calculated volume, the calculation gives 87.2 Å³/cell.

(6)
Entry from the Alexandria database: an optimized crystal structure of Y4CrRh (GGA-PBE).

a b c (Å): 6.076 6.076 6.076
angles (deg): 60.00 60.00 60.00
Sites, in units of the cell vectors:
Cr (0.750, 0.750, 0.750)
Y (0.374, 0.877, 0.374)
Y (0.877, 0.374, 0.374)
Y (0.374, 0.374, 0.374)
Y (0.374, 0.374, 0.877)
Rh (0.000, 0.000, 0.000)

Values from the calculation:
Its space group is No. 216. As for the formation energy: 0.7793 eV per atom. For the density of states at the Fermi level, the calculation gives 6.03 states/eV/cell. For the calculated volume, the calculation gives 158.6 Å³/cell.

(7)
Entry from the Alexandria database: an optimized crystal structure of YCr3Rh (GGA-PBE).

a b c (Å): 4.734 4.734 4.734
angles (deg): 90.00 90.00 90.00
Sites, in units of the cell vectors:
Cr (0.000, 0.000, 0.500)
Cr (0.500, 0.000, 0.000)
Rh (0.000, 0.000, 0.000)
Y (0.500, 0.500, 0.500)
Cr (0.000, 0.500, 0.000)

Values from the calculation:
Its space group is No. 221. As for the formation energy: 0.8531 eV per atom. For the density of states at the Fermi level, the calculation gives 9.93 states/eV/cell. For the calculated volume, the calculation gives 106.1 Å³/cell.

(8)
Entry from the Alexandria database: an optimized crystal structure of YCrRh3 (GGA-PBE).

a b c (Å): 4.875 4.875 4.875
angles (deg): 90.00 90.00 90.00
Sites, in units of the cell vectors:
Rh (0.000, 0.000, 0.500)
Rh (0.000, 0.500, 0.000)
Cr (0.500, 0.500, 0.500)
Y (0.000, 0.000, 0.000)
Rh (0.500, 0.000, 0.000)

Values from the calculation:
Its space group is No. 221. As for the formation energy: 1.3246 eV per atom. For the density of states at the Fermi level, the calculation gives 10.34 states/eV/cell. For the calculated volume, the calculation gives 115.8 Å³/cell.

(9)
Entry from the Alexandria database: an optimized crystal structure of YCr3Rh (GGA-PBE).

a b c (Å): 4.675 4.675 4.675
angles (deg): 90.00 90.00 90.00
Sites, in units of the cell vectors:
Rh (0.500, 0.500, 0.500)
Cr (0.000, 0.000, 0.500)
Cr (0.000, 0.500, 0.000)
Cr (0.500, 0.000, 0.000)
Y (0.000, 0.000, 0.000)

Values from the calculation:
Its space group is No. 221. As for the formation energy: 2.2251 eV per atom. For the density of states at the Fermi level, the calculation gives 9.22 states/eV/cell. For the calculated volume, the calculation gives 102.2 Å³/cell.

(10)
Entry from the Alexandria database: an optimized crystal structure of YCrRh (GGA-PBE).

a b c (Å): 4.545 4.545 4.545
angles (deg): 60.00 60.00 60.00
Sites, in units of the cell vectors:
Rh (0.750, 0.750, 0.750)
Cr (0.500, 0.500, 0.500)
Y (0.000, 0.000, 0.000)

Values from the calculation:
Its space group is No. 216. As for the formation energy: 0.0501 eV per atom. For the density of states at the Fermi level, the calculation gives 3.57 states/eV/cell. For the calculated volume, the calculation gives 66.4 Å³/cell.

(11)
Entry from the Alexandria database: an optimized crystal structure of YCrRh (GGA-PBE).

a b c (Å): 4.368 4.368 3.681
angles (deg): 90.00 90.00 120.00
Sites, in units of the cell vectors:
Y (0.333, 0.667, 0.667)
Cr (0.000, 0.000, 0.167)
Rh (0.667, 0.333, 0.166)

Values from the calculation:
Its space group is No. 187. As for the formation energy: -0.1006 eV per atom. For the density of states at the Fermi level, the calculation gives 2.21 states/eV/cell. For the calculated volume, the calculation gives 60.8 Å³/cell.

(12)
Entry from the Alexandria database: an optimized crystal structure of YCrRh (GGA-PBE).

a b c (Å): 5.627 5.627 5.627
angles (deg): 146.61 143.50 50.29
Sites, in units of the cell vectors:
Cr (0.034, 0.034, 0.000)
Rh (0.641, 0.641, 0.000)
Y (0.326, 0.326, 0.000)

Values from the calculation:
Its space group is No. 44. As for the formation energy: -0.0034 eV per atom. For the density of states at the Fermi level, the calculation gives 3.40 states/eV/cell. For the calculated volume, the calculation gives 58.0 Å³/cell.

(13)
Entry from the Alexandria database: an optimized crystal structure of YCrRh3 (GGA-PBE).

a b c (Å): 4.523 4.523 4.523
angles (deg): 90.00 90.00 90.00
Sites, in units of the cell vectors:
Y (0.500, 0.500, 0.500)
Rh (0.000, 0.500, 0.000)
Cr (0.000, 0.000, 0.000)
Rh (0.500, 0.000, 0.000)
Rh (0.000, 0.000, 0.500)

Values from the calculation:
Its space group is No. 221. As for the formation energy: 0.0409 eV per atom. For the density of states at the Fermi level, the calculation gives 5.17 states/eV/cell. For the calculated volume, the calculation gives 92.5 Å³/cell.

(14)
Entry from the Alexandria database: an optimized crystal structure of YCrRh (GGA-PBE).

a b c (Å): 4.571 4.571 4.571
angles (deg): 60.00 60.00 60.00
Sites, in units of the cell vectors:
Y (0.750, 0.750, 0.750)
Cr (0.000, 0.000, 0.000)
Rh (0.500, 0.500, 0.500)

Values from the calculation:
Its space group is No. 216. As for the formation energy: 0.5881 eV per atom. For the density of states at the Fermi level, the calculation gives 1.55 states/eV/cell. For the calculated volume, the calculation gives 67.5 Å³/cell.

(15)
Entry from the Alexandria database: an optimized crystal structure of ZnCrRh2 (GGA-PBE).

a b c (Å): 3.819 2.784 5.907
angles (deg): 62.15 90.00 90.00
Sites, in units of the cell vectors:
Rh (0.000, 0.021, 0.979)
Rh (0.500, 0.228, 0.272)
Cr (0.500, 0.738, 0.761)
Zn (0.000, 0.513, 0.488)

Values from the calculation:
Its space group is No. 6. As for the formation energy: -0.0985 eV per atom. For the density of states at the Fermi level, the calculation gives 3.87 states/eV/cell. For the calculated volume, the calculation gives 55.5 Å³/cell.

(16)
Entry from the Alexandria database: an optimized crystal structure of ZnCrRh2 (GGA-PBE).

a b c (Å): 3.193 3.193 5.514
angles (deg): 90.00 90.00 90.00
Sites, in units of the cell vectors:
Zn (0.000, 0.000, 0.494)
Rh (0.500, 0.500, 0.278)
Cr (0.500, 0.500, 0.757)
Rh (0.000, 0.000, 0.970)

Values from the calculation:
Its space group is No. 99. As for the formation energy: -0.0033 eV per atom. For the density of states at the Fermi level, the calculation gives 4.72 states/eV/cell. For the calculated volume, the calculation gives 56.2 Å³/cell.

(17)
Entry from the Alexandria database: an optimized crystal structure of ZnCr4Rh5 (GGA-PBE).

a b c (Å): 3.035 3.035 15.040
angles (deg): 90.00 90.00 90.00
Sites, in units of the cell vectors:
Zn (0.000, 0.000, 0.000)
Rh (0.500, 0.500, 0.299)
Rh (0.500, 0.500, 0.701)
Rh (0.500, 0.500, 0.898)
Cr (0.000, 0.000, 0.400)
Cr (0.000, 0.000, 0.600)
Cr (0.000, 0.000, 0.197)
Rh (0.500, 0.500, 0.102)
Cr (0.000, 0.000, 0.803)
Rh (0.500, 0.500, 0.500)

Values from the calculation:
Its space group is No. 123. As for the formation energy: -0.0570 eV per atom. For the density of states at the Fermi level, the calculation gives 11.87 states/eV/cell. For the calculated volume, the calculation gives 138.6 Å³/cell.

(18)
Entry from the Alexandria database: an optimized crystal structure of ZnCrRh2 (GGA-PBE).

a b c (Å): 4.809 4.809 4.809
angles (deg): 134.84 134.87 65.76
Sites, in units of the cell vectors:
Rh (0.000, 0.000, 0.000)
Rh (0.750, 0.250, 0.500)
Cr (0.250, 0.750, 0.500)
Zn (0.500, 0.500, 0.000)

Values from the calculation:
Its space group is No. 119. As for the formation energy: -0.1470 eV per atom. For the density of states at the Fermi level, the calculation gives 3.40 states/eV/cell. For the calculated volume, the calculation gives 55.0 Å³/cell.

(19)
Entry from the Alexandria database: an optimized crystal structure of ZnCrRh2 (GGA-PBE).

a b c (Å): 5.669 5.669 5.669
angles (deg): 54.97 153.12 133.00
Sites, in units of the cell vectors:
Rh (0.000, 0.778, 0.778)
Rh (0.000, 0.222, 0.222)
Cr (0.000, 0.000, 0.000)
Zn (0.000, 0.500, 0.500)

Values from the calculation:
Its space group is No. 71. As for the formation energy: 0.3151 eV per atom. For the density of states at the Fermi level, the calculation gives 2.94 states/eV/cell. For the calculated volume, the calculation gives 59.9 Å³/cell.

(20)
Entry from the Alexandria database: an optimized crystal structure of ZnCrRh2 (GGA-PBE).

a b c (Å): 4.526 4.526 4.745
angles (deg): 78.95 78.95 35.78
Sites, in units of the cell vectors:
Rh (0.996, 0.996, 0.003)
Cr (0.250, 0.250, 0.250)
Rh (0.504, 0.504, 0.497)
Zn (0.750, 0.750, 0.750)

Values from the calculation:
Its space group is No. 12. As for the formation energy: -0.1020 eV per atom. For the density of states at the Fermi level, the calculation gives 3.38 states/eV/cell. For the calculated volume, the calculation gives 55.7 Å³/cell.